Record 1
The following is a PBE-GGA calculation of an optimized crystal structure of CaTm2Zn, from Alexandria.

Geometry as CIF:
```
data_CaTm2Zn
_cell_length_a 3.5710
_cell_length_b 3.5710
_cell_length_c 9.0083
_cell_angle_alpha 90.00
_cell_angle_beta 90.00
_cell_angle_gamma 90.00
_space_group_name_H-M_alt 'P 4/m m m'
_space_group_IT_number 123
_space_group_name_Hall '-P 4 2'
loop_
_atom_site_label
_atom_site_type_symbol
_atom_site_fract_x
_atom_site_fract_y
_atom_site_fract_z
Ca1 Ca 0.0000 0.0000 0.0000
Tm1 Tm 0.5000 0.5000 0.3143
Zn1 Zn 0.0000 0.0000 0.5000
```

Calculated total energy (Ha/atom): -0.11604
DFT formation energy (eV/atom): -0.10

Record 2
The following is a PBE-GGA calculation of an optimized crystal structure of CaTmZn4, from Alexandria.

Geometry as CIF:
```
data_CaTmZn4
_cell_length_a 7.7379
_cell_length_b 7.7379
_cell_length_c 7.7379
_cell_angle_alpha 90.00
_cell_angle_beta 90.00
_cell_angle_gamma 90.00
_space_group_name_H-M_alt 'F -4 3 m'
_space_group_IT_number 216
_space_group_name_Hall 'F -4 2 3'
loop_
_atom_site_label
_atom_site_type_symbol
_atom_site_fract_x
_atom_site_fract_y
_atom_site_fract_z
Ca1 Ca 0.0000 0.0000 0.0000
Tm1 Tm 0.2500 0.2500 0.2500
Zn1 Zn 0.1243 0.1243 0.6243
```

Calculated total energy (Ha/atom): -0.08070
DFT formation energy (eV/atom): -0.27

Record 3
The following is a PBE-GGA calculation of an optimized crystal structure of CaTm2Zn, from Alexandria.

Geometry as CIF:
```
data_CaTm2Zn
_cell_length_a 3.5575
_cell_length_b 3.5575
_cell_length_c 33.0075
_cell_angle_alpha 90.00
_cell_angle_beta 90.00
_cell_angle_gamma 120.00
_space_group_name_H-M_alt 'R -3 m'
_space_group_IT_number 166
_space_group_name_Hall '-R 3 2"'
loop_
_atom_site_label
_atom_site_type_symbol
_atom_site_fract_x
_atom_site_fract_y
_atom_site_fract_z
Ca1 Ca 0.0000 0.0000 0.0000
Tm1 Tm 0.0000 0.0000 0.1023
Zn1 Zn 0.0000 0.0000 0.5000
```

Calculated total energy (Ha/atom): -0.10778
DFT formation energy (eV/atom): 0.12